DFT (PBE) results for a relaxed Ca3HoNi8 crystal.

Unit cell a=5.0810 b=5.0810 c=24.8365 alpha=90.00 beta=90.00 gamma=120.00
Space group R3m (No. 160, hexagonal axes)
Asymmetric unit:
Ca (0.0000, 0.0000, 0.0000) x3
Ca (0.0000, 0.0000, 0.1238) x3
Ca (0.0000, 0.0000, 0.6280) x3
Ho (0.0000, 0.0000, 0.5017) x3
Ni (0.0000, 0.0000, 0.3134) x3
Ni (0.0000, 0.0000, 0.8136) x3
Ni (0.0037, 0.5018, 0.0650) x9
Ni (0.1682, 0.3364, 0.8952) x9

Computed properties:
- total magnetization (μB per cell) = 0.00
- energy of formation from the pure elements (eV per atom) = -0.256
- density of states at the Fermi level (states/eV per atom) = 1.139

***

DFT (PBE) results for a relaxed Hf3RuS crystal.

Unit cell a=4.962 b=4.962 c=4.962 alpha=90.00 beta=90.00 gamma=90.00
Space group Pm-3m (No. 221)
Asymmetric unit:
Hf (0.000, 0.000, 0.500) x3
Ru (0.000, 0.000, 0.000) x1
S (0.500, 0.500, 0.500) x1

Computed properties:
- total magnetization (μB per cell) = 0.00
- excess energy over the best structure of this formula in the dataset (meV per atom) = 454.2
- density of states at the Fermi level (states/eV per atom) = 0.879
- E_form (uncorrected) (eV per atom) = 0.31

***

DFT (PBE) results for a relaxed Pr12Co3H5 crystal.

Unit cell a=15.556 b=15.556 c=15.556 alpha=90.00 beta=90.00 gamma=90.00
Space group Ia-3d (No. 230)
Asymmetric unit:
Pr (0.033, 0.065, 0.654) x96
Co (0.000, 0.250, 0.125) x24
H (0.000, 0.000, 0.000) x16
H (0.000, 0.250, 0.375) x24

Computed properties:
- uncorrected energy (eV per atom) = -4.90
- total magnetization (μB per cell) = 0.04
- density of states at the Fermi level (states/eV per atom) = 1.006

***

DFT (PBE) results for a relaxed Ag2SbSe crystal.

Unit cell a=7.057 b=7.057 c=7.057 alpha=90.00 beta=90.00 gamma=90.00
Space group F-43m (No. 216)
Asymmetric unit:
Ag (0.000, 0.000, 0.000) x4
Ag (0.250, 0.250, 0.250) x4
Sb (0.000, 0.000, 0.500) x4
Se (0.250, 0.250, 0.750) x4

Computed properties:
- total magnetization (μB per cell) = 0.00
- density of states at the Fermi level (states/eV per atom) = 1.122
- E_form (uncorrected) (eV per atom) = 0.30

***

DFT (PBE) results for a relaxed CeNp2RuN4 crystal.

Unit cell a=3.381 b=11.550 c=11.558 alpha=90.00 beta=90.00 gamma=90.00
Space group Cmcm (No. 63)
Asymmetric unit:
Ce (0.000, 0.108, 0.250) x4
Np (0.000, 0.370, 0.054) x8
Ru (0.000, 0.152, 0.750) x4
N (0.000, 0.000, 0.000) x4
N (0.000, 0.271, 0.612) x8
N (0.000, 0.456, 0.250) x4

Computed properties:
- total magnetization (μB per cell) = 20.50
- density of states at the Fermi level (states/eV per atom) = 1.493
- E_form (uncorrected) (eV per atom) = -0.94

***

DFT (PBE) results for a relaxed NdThSi crystal.

Unit cell a=7.9626 b=7.9626 c=4.4636 alpha=90.00 beta=90.00 gamma=120.00
Space group P-62m (No. 189)
Asymmetric unit:
Nd (0.0000, 0.5849, 0.0000) x3
Th (0.0000, 0.2501, 0.5000) x3
Si (0.0000, 0.0000, 0.0000) x1
Si (0.3333, 0.6667, 0.5000) x2

Computed properties:
- total magnetization (μB per cell) = 0.00
- excess energy over the best structure of this formula in the dataset (meV per atom) = 0.0
- density of states at the Fermi level (states/eV per atom) = 1.126
- E_form (uncorrected) (eV per atom) = -0.45

***

DFT (PBE) results for a relaxed BaSrCo2 crystal.

Unit cell a=4.030 b=4.387 c=14.586 alpha=90.00 beta=90.00 gamma=90.00
Space group Imm2 (No. 44)
Asymmetric unit:
Ba (0.000, 0.000, 0.000) x2
Sr (0.000, 0.500, 0.259) x2
Co (0.000, 0.000, 0.402) x2
Co (0.000, 0.500, 0.842) x2

Computed properties:
- total magnetization (μB per cell) = 3.17
- excess energy over the best structure of this formula in the dataset (meV per atom) = 38.6
- energy of formation from the pure elements (eV per atom) = 0.341
- density of states at the Fermi level (states/eV per atom) = 1.377

***

DFT (PBE) results for a relaxed LaPr2TmH crystal.

Unit cell a=5.187 b=5.187 c=5.091 alpha=90.00 beta=90.00 gamma=90.00
Space group P4/mmm (No. 123)
Asymmetric unit:
La (0.000, 0.000, 0.000) x1
Pr (0.000, 0.500, 0.500) x2
Tm (0.500, 0.500, 0.000) x1
H (0.500, 0.500, 0.500) x1

Computed properties:
- uncorrected energy (eV per atom) = -4.63
- total magnetization (μB per cell) = 0.00
- density of states at the Fermi level (states/eV per atom) = 0.803

***

DFT (PBE) results for a relaxed AcHoLuHg crystal.

Unit cell a=7.823 b=7.823 c=7.823 alpha=90.00 beta=90.00 gamma=90.00
Space group F-43m (No. 216)
Asymmetric unit:
Ac (0.000, 0.000, 0.000) x4
Ho (0.250, 0.250, 0.750) x4
Lu (0.250, 0.250, 0.250) x4
Hg (0.000, 0.000, 0.500) x4

Computed properties:
- total magnetization (μB per cell) = 0.01
- energy of formation from the pure elements (eV per atom) = 0.092
- density of states at the Fermi level (states/eV per atom) = 1.712

***

DFT (PBE) results for a relaxed CaIr2Br crystal.

Unit cell a=3.0710 b=3.0710 c=27.0673 alpha=90.00 beta=90.00 gamma=120.00
Space group R-3m (No. 166, hexagonal axes)
Asymmetric unit:
Ca (0.0000, 0.0000, 0.0000) x3
Ir (0.0000, 0.0000, 0.2454) x6
Br (0.0000, 0.0000, 0.5000) x3

Computed properties:
- total magnetization (μB per cell) = 0.00
- excess energy over the best structure of this formula in the dataset (meV per atom) = 866.0
- density of states at the Fermi level (states/eV per atom) = 1.009
- E_form (uncorrected) (eV per atom) = 0.61

***

DFT (PBE) results for a relaxed TbNp2PdS4 crystal.

Unit cell a=6.805 b=6.805 c=6.642 alpha=90.00 beta=90.00 gamma=90.00
Space group I-42m (No. 121)
Asymmetric unit:
Tb (0.000, 0.000, 0.000) x2
Np (0.000, 0.500, 0.000) x4
Pd (0.000, 0.000, 0.500) x2
S (0.211, 0.211, 0.287) x8

Computed properties:
- total magnetization (μB per cell) = 17.18
- density of states at the Fermi level (states/eV per atom) = 1.328
- E_form (uncorrected) (eV per atom) = -1.20

***

DFT (PBE) results for a relaxed Mg2Au crystal.

Unit cell a=4.550 b=4.550 c=6.475 alpha=90.00 beta=90.00 gamma=90.00
Space group I4/mmm (No. 139)
Asymmetric unit:
Mg (0.000, 0.500, 0.250) x4
Au (0.000, 0.000, 0.000) x2

Computed properties:
- total magnetization (μB per cell) = 0.00
- energy of formation from the pure elements (eV per atom) = -0.436
- density of states at the Fermi level (states/eV per atom) = 0.537

***

DFT (PBE) results for a relaxed CaDyAg6 crystal.

Unit cell a=8.492 b=4.888 c=8.564 alpha=90.00 beta=109.57 gamma=90.00
Space group C2/m (No. 12)
Asymmetric unit:
Ca (0.000, 0.000, 0.000) x2
Dy (0.000, 0.500, 0.500) x2
Ag (0.124, 0.500, 0.872) x4
Ag (0.125, 0.000, 0.375) x4
Ag (0.248, 0.000, 0.745) x4

Computed properties:
- total magnetization (μB per cell) = 0.00
- excess energy over the best structure of this formula in the dataset (meV per atom) = 0.0
- energy of formation from the pure elements (eV per atom) = -0.196
- density of states at the Fermi level (states/eV per atom) = 0.390

***

DFT (PBE) results for a relaxed La4Nd3Au2 crystal.

Unit cell a=17.805 b=3.885 c=9.522 alpha=90.00 beta=112.84 gamma=90.00
Space group C2/m (No. 12)
Asymmetric unit:
La (0.124, 0.000, 0.378) x4
La (0.238, 0.500, 0.178) x4
Nd (0.000, 0.500, 0.000) x2
Nd (0.073, 0.500, 0.673) x4
Au (0.116, 0.000, 0.945) x4

Computed properties:
- total magnetization (μB per cell) = 0.65
- energy of formation from the pure elements (eV per atom) = -0.296
- density of states at the Fermi level (states/eV per atom) = 1.587

***

DFT (PBE) results for a relaxed Ac3Nd3Ag4 crystal.

Unit cell a=5.050 b=11.310 c=11.132 alpha=90.00 beta=90.00 gamma=90.00
Space group Amm2 (No. 38)
Asymmetric unit:
Ac (0.000, 0.000, 0.000) x2
Ac (0.000, 0.174, 0.670) x4
Nd (0.000, 0.000, 0.346) x2
Nd (0.500, 0.246, 0.418) x4
Ag (0.500, 0.000, 0.537) x2
Ag (0.500, 0.000, 0.796) x2
Ag (0.500, 0.125, 0.173) x4

Computed properties:
- total magnetization (μB per cell) = 0.00
- energy of formation from the pure elements (eV per atom) = -0.158
- density of states at the Fermi level (states/eV per atom) = 1.572

***

DFT (PBE) results for a relaxed YScI6 crystal.

Unit cell a=7.298 b=14.395 c=7.297 alpha=90.00 beta=108.59 gamma=90.00
Space group C2/m (No. 12)
Asymmetric unit:
Y (0.000, 0.000, 0.000) x2
Sc (0.000, 0.500, 0.500) x2
I (0.239, 0.356, 0.740) x8
I (0.245, 0.500, 0.256) x4

Computed properties:
- total magnetization (μB per cell) = 0.00
- density of states at the Fermi level (states/eV per atom) = 0.000
- E_form (uncorrected) (eV per atom) = -1.26

***

DFT (PBE) results for a relaxed SrPuCrN4 crystal.

Unit cell a=5.724 b=5.518 c=7.054 alpha=90.00 beta=107.24 gamma=90.00
Space group P2_1/m (No. 11)
Asymmetric unit:
Sr (0.207, 0.250, 0.424) x2
Pu (0.279, 0.250, 0.947) x2
Cr (0.264, 0.750, 0.180) x2
N (0.062, 0.750, 0.326) x2
N (0.065, 0.750, 0.944) x2
N (0.464, 0.505, 0.204) x4

Computed properties:
- total magnetization (μB per cell) = 8.00
- density of states at the Fermi level (states/eV per atom) = 1.013
- E_form (uncorrected) (eV per atom) = -0.82

***

DFT (PBE) results for a relaxed Hf5AuO crystal.

Unit cell a=9.602 b=6.043 c=9.989 alpha=90.00 beta=114.27 gamma=90.00
Space group C2/c (No. 15)
Asymmetric unit:
Hf (0.000, 0.041, 0.250) x4
Hf (0.135, 0.338, 0.057) x8
Hf (0.217, 0.150, 0.613) x8
Au (0.000, 0.422, 0.750) x4
O (0.000, 0.000, 0.000) x4

Computed properties:
- total magnetization (μB per cell) = 0.00
- density of states at the Fermi level (states/eV per atom) = 0.766
- E_form (uncorrected) (eV per atom) = -0.75

***

DFT (PBE) results for a relaxed K2NaGa crystal.

Unit cell a=4.324 b=4.324 c=9.050 alpha=90.00 beta=90.00 gamma=90.00
Space group P4/mmm (No. 123)
Asymmetric unit:
K (0.000, 0.000, 0.212) x2
Na (0.500, 0.500, 0.500) x1
Ga (0.500, 0.500, 0.000) x1

Computed properties:
- total magnetization (μB per cell) = 0.00
- energy of formation from the pure elements (eV per atom) = 0.128
- density of states at the Fermi level (states/eV per atom) = 0.653

***

DFT (PBE) results for a relaxed ThNiGe2 crystal.

Unit cell a=4.244 b=4.278 c=8.604 alpha=90.00 beta=104.28 gamma=90.00
Space group P2_1/m (No. 11)
Asymmetric unit:
Th (0.107, 0.250, 0.215) x2
Ni (0.320, 0.250, 0.638) x2
Ge (0.249, 0.750, 0.499) x2
Ge (0.458, 0.250, 0.918) x2

Computed properties:
- total magnetization (μB per cell) = 0.00
- energy of formation from the pure elements (eV per atom) = -0.730
- density of states at the Fermi level (states/eV per atom) = 0.241

***

DFT (PBE) results for a relaxed K3GaAu3 crystal.

Unit cell a=11.715 b=4.778 c=15.963 alpha=90.00 beta=109.46 gamma=90.00
Space group C2/m (No. 12)
Asymmetric unit:
K (0.036, 0.000, 0.269) x4
K (0.143, 0.500, 0.124) x4
K (0.177, 0.000, 0.577) x4
Ga (0.168, 0.500, 0.917) x4
Au (0.022, 0.500, 0.417) x4
Au (0.103, 0.000, 0.964) x4
Au (0.166, 0.500, 0.752) x4

Computed properties:
- total magnetization (μB per cell) = 0.00
- excess energy over the best structure of this formula in the dataset (meV per atom) = 0.0
- energy of formation from the pure elements (eV per atom) = -0.312
- density of states at the Fermi level (states/eV per atom) = 0.361

***

Number 1: volume 185.10 Å³/f.u.. Number 2: volume 122.14 Å³/f.u.. Number 3: volume 470.51 Å³/f.u.. Number 4: volume 87.87 Å³/f.u.. Number 5: volume 112.85 Å³/f.u.. Number 6: volume 81.70 Å³/f.u.. Number 7: volume 128.96 Å³/f.u.. Number 8: volume 136.95 Å³/f.u.. Number 9: volume 119.67 Å³/f.u.. Number 10: volume 73.69 Å³/f.u.. Number 11: volume 153.80 Å³/f.u.. Number 12: volume 67.02 Å³/f.u.. Number 13: volume 167.47 Å³/f.u.. Number 14: volume 303.47 Å³/f.u.. Number 15: volume 317.91 Å³/f.u.. Number 16: volume 363.32 Å³/f.u.. Number 17: volume 106.39 Å³/f.u.. Number 18: volume 132.09 Å³/f.u.. Number 19: volume 169.19 Å³/f.u.. Number 20: volume 75.69 Å³/f.u.. Number 21: volume 210.62 Å³/f.u..